ErCu9Hg2 after structural relaxation, computed with PBE.

Results
Final energy = -42.825 eV for the cell shown
Space-group type = R-3m
Calculated volume = 14.94 Å³ per atom
DFT formation energy = -66 meV per atom
Magnetic moment = 0.0 μB/f.u.
Mass density = 10.56 g/cm3

a = 8.5145 Å, b = 8.5145 Å, c = 8.5145 Å
α = 34.78°, β = 34.78°, γ = 34.78°
Element x y z (fractional)
Er 0.0000 0.0000 0.0000
Cu 0.0810 0.5844 0.5844
Cu 0.3335 0.3335 0.3335
Cu 0.4156 0.4156 0.9190
Cu 0.4156 0.9190 0.4156
Cu 0.5000 0.5000 0.5000
Cu 0.5844 0.0810 0.5844
Cu 0.5844 0.5844 0.0810
Cu 0.6665 0.6665 0.6665
Cu 0.9190 0.4156 0.4156
Hg 0.1397 0.1397 0.1397
Hg 0.8603 0.8603 0.8603